Computed, not measured: a relaxed NpMn2AsO8 crystal at the PBE+U level of DFT.

Structure (POSCAR):
```
NpMn2AsO8
1.0
3.2535 -3.5063 0.0000
3.2535 3.5063 0.0000
0.0000 0.0000 6.2818
Np Mn As O
1 2 1 8
Direct
0.0000 0.0000 0.0000 Np
0.5000 0.5000 0.2635 Mn
0.5000 0.5000 0.7365 Mn
0.0000 0.0000 0.5000 As
0.1810 0.8190 0.2720 O
0.1810 0.8190 0.7280 O
0.2854 0.2854 0.5000 O
0.3101 0.3101 0.0000 O
0.6899 0.6899 0.0000 O
0.7146 0.7146 0.5000 O
0.8190 0.1810 0.2720 O
0.8190 0.1810 0.7280 O
```

Calculated values
**Total energy**: -93.99 eV per cell
**Spin magnetization**: 10.00 μB per cell
**Crystal system**: orthorhombic